Entry 1:
The following is a GGA-PBE calculation of a relaxed AlTl2Au2 crystal, from the Alexandria database.

Cell: 8.1949 8.1949 3.6229 Å, 90.00 90.00 90.00°
Fractional coordinates of all 10 atoms:
Al 0.0000 0.0000 0.0000
Al 0.5000 0.5000 0.0000
Tl 0.1731 0.3269 0.0000
Tl 0.3269 0.8269 0.0000
Tl 0.6731 0.1731 0.0000
Tl 0.8269 0.6731 0.0000
Au 0.1244 0.6244 0.5000
Au 0.3756 0.1244 0.5000
Au 0.6244 0.8756 0.5000
Au 0.8756 0.3756 0.5000

Summary:
energy relative to the elements	1.24	eV/f.u.
calculated total energy	-2.76	eV/atom
calculated volume	24.330	Å³/atom
symmetry	No. 127

---

Entry 2:
The following is a GGA-PBE calculation of a relaxed Al2TlAu crystal, from the Alexandria database.

Cell: 6.8836 6.8836 6.8836 Å, 151.31 145.58 45.40°
Fractional coordinates of all 4 atoms:
Al 0.0000 0.0000 0.0000
Al 0.6679 0.1679 0.5000
Tl 0.3784 0.3784 0.0000
Au 0.1615 0.6615 0.5000

Summary:
energy relative to the elements	0.08	eV/f.u.
calculated total energy	-3.26	eV/atom
calculated volume	22.057	Å³/atom
symmetry	No. 44

---

Entry 3:
The following is a GGA-PBE calculation of a relaxed AlTl5Au6 crystal, from the Alexandria database.

Cell: 7.5505 7.5505 6.8065 Å, 101.32 101.32 124.03°
Fractional coordinates of all 12 atoms:
Al 0.0000 0.0000 0.0000
Tl 0.2015 0.7985 0.5000
Tl 0.3593 0.6407 0.0000
Tl 0.5000 0.5000 0.5000
Tl 0.6407 0.3593 0.0000
Tl 0.7985 0.2015 0.5000
Au 0.0425 0.3547 0.2014
Au 0.1650 0.1650 0.7172
Au 0.3547 0.0425 0.2014
Au 0.6453 0.9575 0.7986
Au 0.8350 0.8350 0.2828
Au 0.9575 0.6453 0.7986

Summary:
energy relative to the elements	-0.67	eV/f.u.
calculated total energy	-2.99	eV/atom
calculated volume	24.339	Å³/atom
symmetry	No. 12

---

Entry 4:
The following is a GGA-PBE calculation of a relaxed AlTlAu2 crystal, from the Alexandria database.

Cell: 5.3045 5.3045 5.3045 Å, 132.38 132.38 69.63°
Fractional coordinates of all 4 atoms:
Al 0.0000 0.0000 0.0000
Tl 0.7500 0.2500 0.5000
Au 0.2500 0.7500 0.5000
Au 0.5000 0.5000 0.0000

Summary:
energy relative to the elements	0.28	eV/f.u.
calculated total energy	-3.10	eV/atom
calculated volume	19.970	Å³/atom
symmetry	No. 119

---

Entry 5:
The following is a GGA-PBE calculation of a relaxed Al2TlAu crystal, from the Alexandria database.

Cell: 3.0652 3.3245 8.1895 Å, 90.00 96.62 90.00°
Fractional coordinates of all 4 atoms:
Al 0.0691 0.0000 0.1964
Al 0.9309 0.0000 0.8036
Tl 0.0000 0.5000 0.5000
Au 0.5000 0.5000 0.0000

Summary:
energy relative to the elements	-0.06	eV/f.u.
calculated total energy	-3.30	eV/atom
calculated volume	20.724	Å³/atom
symmetry	No. 10

---

Entry 6:
The following is a GGA-PBE calculation of a relaxed Al2TlAu2 crystal, from the Alexandria database.

Cell: 8.2931 8.2931 2.8517 Å, 90.00 90.00 90.00°
Fractional coordinates of all 10 atoms:
Al 0.1319 0.3681 0.0000
Al 0.3681 0.8681 0.0000
Al 0.6319 0.1319 0.0000
Al 0.8681 0.6319 0.0000
Tl 0.0000 0.0000 0.5000
Tl 0.5000 0.5000 0.5000
Au 0.1603 0.6603 0.5000
Au 0.3397 0.1603 0.5000
Au 0.6603 0.8397 0.5000
Au 0.8397 0.3397 0.5000

Summary:
energy relative to the elements	-0.69	eV/f.u.
calculated total energy	-3.42	eV/atom
calculated volume	19.613	Å³/atom
symmetry	No. 127

---

Calculated values (Bohr magnetons per cell) of M_tot for the records, taken in order: 0.0 0.0 0.0 0.0 0.0 0.0.